The following is a DFT calculation (PBE+U) of a geometry-optimized KNiPb2F8 structure.

Summary:
- space group = P-1, No. 2
- N(E_F) (states/eV/cell) = 3.5
- DFT total energy (eV/atom) = -4.434

Lattice parameters (Å, degrees): 5.199 5.332 7.553 89.66 89.73 88.46
Atoms (fractional coordinates):
K 0.000 0.000 0.000
Ni 0.000 0.000 0.500
Pb 0.499 0.499 0.264
Pb 0.501 0.501 0.736
F 0.175 0.804 0.696
F 0.179 0.808 0.304
F 0.285 0.270 0.501
F 0.347 0.315 0.001
F 0.653 0.685 0.999
F 0.715 0.730 0.499
F 0.821 0.192 0.696
F 0.825 0.196 0.304